## TmScCN2O2 (PBE)

Data for TmScCN2O2 after structural relaxation.

Total DFT energy (no corrections): -61.52 eV/cell

Cell lengths 3.5395, 3.5395, 7.9870 Å; angles 90.00, 90.00, 120.00 degrees
Space group P3m1 (No. 156)
One atom of each set of equivalent atoms:
Tm  0.0000  0.0000  0.0000 [1 per cell]
Sc  0.6667  0.3333  0.6515 [1 per cell]
C  0.3333  0.6667  0.3274 [1 per cell]
N  0.3333  0.6667  0.1722 [1 per cell]
N  0.3333  0.6667  0.4813 [1 per cell]
O  0.0000  0.0000  0.7137 [1 per cell]
O  0.6667  0.3333  0.9178 [1 per cell]